Here is a geometry-optimized Re4IrOs structure from Alexandria. Energies are from PBE-GGA.

abc: 4.368 13.989 6.992
angles: 143.64 71.80 128.60
Atoms (fractional coordinates):
Re  0.242  0.869  0.997
Re  0.754  0.626  0.992
Re  0.168  0.667  0.334
Re  0.832  0.333  0.666
Re  0.833  0.833  0.666
Re  0.246  0.374  0.008
Re  0.167  0.167  0.334
Re  0.758  0.131  0.003
Ir  0.335  0.085  0.670
Ir  0.665  0.915  0.330
Os  0.331  0.581  0.663
Os  0.669  0.419  0.337

- E_form: 0.127 eV/atom
- D(E_F): 5.92 states/eV per cell
- Total energy: -138.2 eV for the cell shown
- Space-group type: P-1 (2)
- Magnetization: 0.00 μB per cell
- Relative energy among the computed polymorphs: 0 meV per atom